The following is a meta-GGA SCAN calculation of a crystal of Ba2LaFe3O9 relaxed with PBEsol, from Alexandria.

a b c (Å): 5.4824 5.4824 6.6814
angles (deg): 90.00 90.00 120.00
Closest atoms and distances in Å follow each position.
Fractional positions:
Ba1 0.3333 0.6667 0.6615  12 O 2.74-2.79
Ba2 0.6667 0.3333 0.3385  12 O 2.74-2.79
La1 0.0000 0.0000 0.0000  12 O 2.64-2.74
Fe1 0.0000 0.0000 0.5000  6 O 1.95
Fe2 0.3333 0.6667 0.1647  6 O 1.93-1.94
Fe3 0.6667 0.3333 0.8353  6 O 1.93-1.94
O1 0.3240 0.1620 0.6783  2 Fe 1.94-1.95
O2 0.6760 0.8380 0.3217  2 Fe 1.94-1.95
O3 0.0000 0.5000 0.0000  2 Fe 1.93
O4 0.1620 0.8380 0.3217  2 Fe 1.94-1.95
O5 0.5000 0.5000 0.0000  2 Fe 1.93
O6 0.8380 0.1620 0.6783  2 Fe 1.94-1.95
O7 0.1620 0.3240 0.3217  2 Fe 1.94-1.95
O8 0.5000 0.0000 0.0000  2 Fe 1.93
O9 0.8380 0.6760 0.6783  2 Fe 1.94-1.95

Uncorrected formation energy (meV per atom): -2410.2

The following is a meta-GGA SCAN calculation of a crystal of MgAlTl2 relaxed with PBEsol, from Alexandria.

a b c (Å): 3.2845 4.4201 6.5001
angles (deg): 90.00 90.00 90.00
Closest atoms and distances in Å follow each position.
Fractional positions:
Al1 0.0000 0.0000 0.5102  6 Tl 3.07-3.43, 4 Mg 3.12, 2 Al 3.28
Mg1 0.5000 0.5000 0.7371  5 Tl 3.04-3.18, 4 Al 3.12, 2 Mg 3.28
Tl1 0.0000 0.0000 0.9832  2 Al 3.07-3.43, 4 Mg 3.18, 6 Tl 3.28-3.32
Tl2 0.5000 0.5000 0.2696  1 Mg 3.04, 4 Al 3.17, 6 Tl 3.28-3.32

Excess energy over the best structure of this formula in the dataset (eV/f.u.): 0.01
Calculated formation energy (eV/atom): 0.112

The following is a meta-GGA SCAN calculation of a crystal of BaGe2Pb2 relaxed with PBEsol, from Alexandria.

a b c (Å): 4.8732 4.8732 7.0684
angles (deg): 110.16 110.16 90.00
Closest atoms and distances in Å follow each position.
Fractional positions:
Pb1 0.2500 0.7500 0.5000  4 Ge 3.06
Pb2 0.7500 0.2500 0.5000  4 Ge 3.06
Ge1 0.3995 0.3995 0.7991  1 Ge 2.48
Ge2 0.6005 0.6005 0.2009  1 Ge 2.48
Ba1 0.0000 0.0000 0.0000  8 Ge 3.66, 8 Pb 3.93

Calculated formation energy (eV/atom): -0.322

The following is a meta-GGA SCAN calculation of a crystal of TlRe2Cl relaxed with PBEsol, from Alexandria.

a b c (Å): 2.8163 3.8430 6.3496
angles (deg): 90.00 90.00 90.00
Closest atoms and distances in Å follow each position.
Fractional positions:
Re1 0.0000 0.0000 0.6906  1 Re 2.42, 4 Cl 2.67
Re2 0.0000 0.0000 0.3094  1 Re 2.42, 4 Cl 2.67
Tl1 0.5000 0.5000 0.0000  2 Tl 2.82, 8 Re 3.09
Cl1 0.5000 0.5000 0.5000  8 Re 2.67, 2 Cl 2.82

Excess energy over the best structure of this formula in the dataset (eV/f.u.): 2.16
Uncorrected formation energy (meV per atom): 1595.5

The following is a meta-GGA SCAN calculation of a crystal of CaSi2Ni relaxed with PBEsol, from Alexandria.

a b c (Å): 3.8520 3.8520 10.4606
angles (deg): 90.00 90.00 120.00
Closest atoms and distances in Å follow each position.
Fractional positions:
Ni1 0.0000 0.0000 0.0000  6 Si 2.32
Ni2 0.0000 0.0000 0.5000  6 Si 2.32
Ca1 0.3333 0.6667 0.7500  8 Si 2.96-3.28
Ca2 0.6667 0.3333 0.2500  8 Si 2.96-3.28
Si1 0.3333 0.6667 0.0631  3 Ni 2.32, 3 Si 2.59
Si2 0.6667 0.3333 0.5631  3 Ni 2.32, 3 Si 2.59
Si3 0.6667 0.3333 0.9369  3 Ni 2.32, 3 Si 2.59
Si4 0.3333 0.6667 0.4369  3 Ni 2.32, 3 Si 2.59

Uncorrected formation energy (meV per atom): -574.5

The following is a meta-GGA SCAN calculation of a crystal of BeSnBi2 relaxed with PBEsol, from Alexandria.

a b c (Å): 6.2147 6.2147 7.6785
angles (deg): 113.87 113.87 90.00
Closest atoms and distances in Å follow each position.
Fractional positions:
Be1 0.7500 0.2500 0.5000  4 Bi 2.52
Be2 0.5000 0.5000 0.0000  4 Bi 2.52
Bi1 0.4312 0.8750 0.2500  2 Be 2.52
Bi2 0.8188 0.3750 0.2500  2 Be 2.52
Bi3 0.1250 0.1812 0.7500  2 Be 2.52
Bi4 0.6250 0.5688 0.7500  2 Be 2.52
Sn1 0.2500 0.7500 0.5000  4 Bi 2.92
Sn2 0.0000 0.0000 0.0000  4 Bi 2.92

Calculated formation energy (eV/atom): 0.188

The following is a meta-GGA SCAN calculation of a crystal of ScSiTc relaxed with PBEsol, from Alexandria.

a b c (Å): 4.2080 4.2080 4.2080
angles (deg): 60.00 60.00 60.00
Closest atoms and distances in Å follow each position.
Fractional positions:
Sc1 0.0000 0.0000 0.0000  4 Tc 2.58
Si1 0.5000 0.5000 0.5000  4 Tc 2.58
Tc1 0.2500 0.2500 0.2500  4 Si 2.58, 4 Sc 2.58

Excess energy over the best structure of this formula in the dataset (eV/f.u.): 1.79
Uncorrected formation energy (meV per atom): -64.2

The following is a meta-GGA SCAN calculation of a crystal of MnBe4 relaxed with PBEsol, from Alexandria.

a b c (Å): 4.3158 4.3158 4.3158
angles (deg): 109.47 109.47 109.47
Closest atoms and distances in Å follow each position.
Fractional positions:
Be1 0.5000 0.0000 0.0000  2 Mn 2.16
Be2 0.5000 0.5000 0.5000  2 Mn 2.16
Be3 0.0000 0.5000 0.0000  2 Mn 2.16
Be4 0.0000 0.0000 0.5000  2 Mn 2.16
Mn1 0.0000 0.0000 0.0000  8 Be 2.16

Excess energy over the best structure of this formula in the dataset (eV/f.u.): 3.66
Calculated formation energy (eV/atom): 0.841

The following is a meta-GGA SCAN calculation of a crystal of Rb2BO relaxed with PBEsol, from Alexandria.

a b c (Å): 5.0162 5.0162 5.0162
angles (deg): 60.00 60.00 60.00
Closest atoms and distances in Å follow each position.
Fractional positions:
B1 0.0000 0.0000 0.0000  8 Rb 3.07
O1 0.5000 0.5000 0.5000  8 Rb 3.07
Rb1 0.2500 0.2500 0.2500  4 O 3.07, 4 B 3.07
Rb2 0.7500 0.7500 0.7500  4 B 3.07, 4 O 3.07

Uncorrected formation energy (meV per atom): 640.6

The following is a meta-GGA SCAN calculation of a crystal of LiSc2Fe relaxed with PBEsol, from Alexandria.

a b c (Å): 3.0975 4.5246 5.6395
angles (deg): 113.70 105.94 90.00
Closest atoms and distances in Å follow each position.
Fractional positions:
Fe1 0.4983 0.4988 0.9966  6 Sc 2.50-2.74, 2 Li 2.55
Li1 0.2042 0.7039 0.4085  2 Fe 2.55
Sc1 0.9984 0.9985 0.9968  4 Fe 2.74, 2 Sc 3.00, 2 Li 3.04
Sc2 0.7991 0.2987 0.5981  2 Fe 2.50

Calculated formation energy (eV/atom): 0.222

The following is a meta-GGA SCAN calculation of a crystal of ZnCu2SnSe3S relaxed with PBEsol, from Alexandria.

a b c (Å): 5.5826 5.5874 6.8284
angles (deg): 114.04 113.89 90.13
Closest atoms and distances in Å follow each position.
Fractional positions:
Zn1 0.2544 0.7359 0.4948  1 S 2.34, 3 Se 2.44-2.46
Cu1 0.0212 0.0187 0.0145  1 S 2.24, 3 Se 2.40
Cu2 0.7277 0.2538 0.4869  1 S 2.24, 3 Se 2.39-2.40
Sn1 0.4962 0.4941 0.0021  1 S 2.48, 3 Se 2.58
Se1 0.8913 0.8998 0.2633  2 Cu 2.40, 1 Zn 2.46, 1 Sn 2.58
Se2 0.0953 0.6286 0.7396  2 Cu 2.40, 1 Zn 2.44, 1 Sn 2.58
Se3 0.6429 0.1055 0.7394  2 Cu 2.39-2.40, 1 Zn 2.45, 1 Sn 2.58
S1 0.3709 0.3636 0.2595  2 Cu 2.24, 1 Zn 2.34, 1 Sn 2.48

Excess energy over the best structure of this formula in the dataset (eV/f.u.): 0.00
Uncorrected formation energy (meV per atom): -444.7

The following is a meta-GGA SCAN calculation of a crystal of CaCrAg2Pt relaxed with PBEsol, from Alexandria.

a b c (Å): 4.6154 5.0945 5.0945
angles (deg): 90.00 90.00 90.00
Closest atoms and distances in Å follow each position.
Fractional positions:
Cr1 0.5000 0.0000 0.0000  2 Pt 2.31
Ca1 0.5000 0.5000 0.5000  8 Ag 3.44, 4 Cr 3.60
Ag1 0.0000 0.0000 0.5000  2 Pt 2.55
Ag2 0.0000 0.5000 0.0000  2 Pt 2.55
Pt1 0.0000 0.0000 0.0000  2 Cr 2.31, 4 Ag 2.55

Calculated formation energy (eV/atom): 0.197